1.
This record from Alexandria via LeMat-Bulk describes Rb2YAgCl6 at its PBEsol-relaxed geometry. The functional is SCAN.

Results
- Energy relative to the elements, uncorrected: -2.05 eV/atom

```
data_Rb2YAgCl6
_cell_length_a 10.495
_cell_length_b 10.495
_cell_length_c 10.495
_cell_angle_alpha 90.00
_cell_angle_beta 90.00
_cell_angle_gamma 90.00
_space_group_name_H-M_alt 'F m -3 m'
_space_group_IT_number 225
_space_group_name_Hall '-F 4 2 3'
loop_
_atom_site_label
_atom_site_fract_x
_atom_site_fract_y
_atom_site_fract_z
Rb1 0.250 0.250 0.250
Y1 0.000 0.000 0.000
Ag1 0.000 0.000 0.500
Cl1 0.000 0.000 0.247
```

2.
This record from Alexandria via LeMat-Bulk describes SmH3 at its PBEsol-relaxed geometry. The functional is SCAN.

```
data_SmH3
_cell_length_a 6.4294
_cell_length_b 6.4294
_cell_length_c 6.6442
_cell_angle_alpha 90.00
_cell_angle_beta 90.00
_cell_angle_gamma 120.00
_space_group_name_H-M_alt 'P -3 c 1'
_space_group_IT_number 165
_space_group_name_Hall '-P 3 2"c'
loop_
_atom_site_label
_atom_site_fract_x
_atom_site_fract_y
_atom_site_fract_z
Sm1 0.0000 0.3363 0.2500
H1 0.0000 0.0000 0.2500
H2 0.0235 0.3457 0.9047
H3 0.3333 0.6667 0.1712
```

3.
This record from Alexandria via LeMat-Bulk describes RuNCl2 at its PBEsol-relaxed geometry. The functional is SCAN.

Results
- Energy relative to the elements, uncorrected: 1.47 eV/atom
- Energy relative to the lowest polymorph listed for this composition: 1434.0 meV per atom

```
data_RuNCl2
_cell_length_a 5.946
_cell_length_b 5.946
_cell_length_c 5.946
_cell_angle_alpha 90.00
_cell_angle_beta 90.00
_cell_angle_gamma 90.00
_space_group_name_H-M_alt 'F m -3 m'
_space_group_IT_number 225
_space_group_name_Hall '-F 4 2 3'
loop_
_atom_site_label
_atom_site_fract_x
_atom_site_fract_y
_atom_site_fract_z
Ru1 0.000 0.000 0.000
N1 0.000 0.000 0.500
Cl1 0.250 0.250 0.250
```

4.
This record from Alexandria via LeMat-Bulk describes BeCu2Os at its PBEsol-relaxed geometry. The functional is SCAN.

Results
- Formation energy: 139 meV per atom

```
data_BeCu2Os
_cell_length_a 2.600
_cell_length_b 4.280
_cell_length_c 8.192
_cell_angle_alpha 90.00
_cell_angle_beta 90.00
_cell_angle_gamma 90.00
_space_group_name_H-M_alt 'I m m 2'
_space_group_IT_number 44
_space_group_name_Hall 'I 2 -2'
loop_
_atom_site_label
_atom_site_fract_x
_atom_site_fract_y
_atom_site_fract_z
Be1 0.000 0.000 0.000
Cu1 0.000 0.000 0.519
Cu2 0.000 0.500 0.276
Os1 0.000 0.500 0.743
```

5.
This record from Alexandria via LeMat-Bulk describes Tb3SOF5 at its PBEsol-relaxed geometry. The functional is SCAN.

Results
- Energy relative to the elements, uncorrected: -4.06 eV/atom

```
data_Tb3SOF5
_cell_length_a 9.284
_cell_length_b 3.640
_cell_length_c 9.334
_cell_angle_alpha 90.00
_cell_angle_beta 119.55
_cell_angle_gamma 90.00
_space_group_name_H-M_alt 'P 1 m 1'
_space_group_IT_number 6
_space_group_name_Hall 'P -2y'
loop_
_atom_site_label
_atom_site_fract_x
_atom_site_fract_y
_atom_site_fract_z
Tb1 0.000 0.000 0.000
Tb2 0.106 0.500 0.689
Tb3 0.285 0.000 0.453
Tb4 0.406 0.500 0.182
Tb5 0.579 0.500 0.871
Tb6 0.833 0.000 0.313
S1 0.028 0.500 0.247
S2 0.372 0.000 0.918
O1 0.085 0.000 0.533
O2 0.265 0.000 0.198
F1 0.132 0.500 0.959
F2 0.325 0.500 0.633
F3 0.431 0.500 0.437
F4 0.545 0.000 0.706
F5 0.588 0.000 0.312
F6 0.656 0.500 0.152
F7 0.749 0.000 0.019
F8 0.823 0.500 0.869
F9 0.845 0.500 0.467
F10 0.975 0.000 0.746
```

6.
This record from Alexandria via LeMat-Bulk describes Cd3Au at its PBEsol-relaxed geometry. The functional is SCAN.

Results
- Formation energy: -127 meV per atom

```
data_Cd3Au
_cell_length_a 4.238
_cell_length_b 4.238
_cell_length_c 8.471
_cell_angle_alpha 90.00
_cell_angle_beta 90.00
_cell_angle_gamma 90.00
_space_group_name_H-M_alt 'I 4/m m m'
_space_group_IT_number 139
_space_group_name_Hall '-I 4 2'
loop_
_atom_site_label
_atom_site_fract_x
_atom_site_fract_y
_atom_site_fract_z
Cd1 0.000 0.000 0.000
Cd2 0.000 0.500 0.250
Au1 0.000 0.000 0.500
```

| no. | final energy (eV/cell) |
| --- | --- |
| 1 | -676.1 |
| 2 | -345.3 |
| 3 | -216.8 |
| 4 | -212.2 |
| 5 | -428.8 |
| 6 | -321.8 |